Record 1
DFT (PBE) results for a relaxed structure of SrTcO3.

Calculated values
The calculation puts the density of states at the Fermi level at 0.662 states/eV per atom. The calculated volume comes out at 20.2 A^3/atom. The symmetry is Cmcm, No. 63. The raw formation energy comes out at -1.641 eV per atom.

Geometry as POSCAR:
```
SrTcO3
1.0
-2.900 7.026 2.958
1.680 -7.606 2.419
4.410 1.338 1.145
O Sr Tc
6 2 2
direct
0.424 0.069 0.250 O
0.000 0.000 0.500 O
0.069 0.424 0.750 O
0.000 0.000 0.000 O
0.931 0.576 0.250 O
0.576 0.931 0.750 O
0.689 0.311 0.750 Sr
0.311 0.689 0.250 Sr
0.908 0.092 0.750 Tc
0.092 0.908 0.250 Tc
```

=====

Record 2
DFT (PBE) results for a relaxed structure of PPt3Rh.

Calculated values
The calculation puts the density of states at the Fermi level at 1.466 states/eV per atom. The calculated volume comes out at 21.9 A^3/atom. The symmetry is Pm-3m, No. 221. The formation energy comes out at 1615 meV/atom.

Geometry as POSCAR:
```
PPt3Rh
1.0
-0.176 -2.676 3.966
-2.284 -3.440 -2.422
4.204 -1.981 -1.150
Pt Rh P
3 1 1
direct
0.000 0.000 0.500 Pt
0.000 0.500 0.000 Pt
0.500 0.000 0.000 Pt
0.000 0.000 0.000 Rh
0.500 0.500 0.500 P
```

=====

Record 3
DFT (PBE) results for a relaxed structure of ErNi12Ge6.

Calculated values
The calculation puts the density of states at the Fermi level at 0.706 states/eV per atom. The calculated volume comes out at 13.7 A^3/atom. The symmetry is R-3m, No. 166. The formation energy comes out at -254 meV/atom.

Geometry as POSCAR:
```
ErNi12Ge6
1.0
-4.324 2.514 -4.439
-3.774 -2.805 4.756
2.849 5.310 2.901
Ni Er Ge
12 1 6
direct
0.500 0.118 0.882 Ni
0.882 0.500 0.118 Ni
0.408 0.155 0.408 Ni
0.845 0.592 0.592 Ni
0.118 0.882 0.500 Ni
0.592 0.845 0.592 Ni
0.408 0.408 0.155 Ni
0.155 0.408 0.408 Ni
0.882 0.118 0.500 Ni
0.592 0.592 0.845 Ni
0.118 0.500 0.882 Ni
0.500 0.882 0.118 Ni
0.000 0.000 0.000 Er
0.262 0.705 0.262 Ge
0.705 0.262 0.262 Ge
0.295 0.738 0.738 Ge
0.262 0.262 0.705 Ge
0.738 0.295 0.738 Ge
0.738 0.738 0.295 Ge
```

=====

Record 4
DFT (PBE) results for a relaxed structure of UBr3F.

Calculated values
The calculation puts the density of states at the Fermi level at 1.184 states/eV per atom. The calculated volume comes out at 33.8 A^3/atom. The symmetry is Cmcm, No. 63. The raw formation energy comes out at -1.793 eV per atom.

Geometry as POSCAR:
```
UBr3F
1.0
2.781 5.979 -2.837
-6.656 -2.681 0.221
-1.496 4.351 7.705
F Br U
2 6 2
direct
0.715 0.285 0.750 F
0.285 0.715 0.250 F
0.377 0.623 0.562 Br
0.377 0.623 0.938 Br
0.623 0.377 0.438 Br
0.054 0.946 0.750 Br
0.946 0.054 0.250 Br
0.623 0.377 0.062 Br
0.561 0.439 0.750 U
0.439 0.561 0.250 U
```

=====

Record 5
DFT (PBE) results for a relaxed structure of MgMn2Cr.

Calculated values
The calculation puts the density of states at the Fermi level at 0.820 states/eV per atom. The calculated volume comes out at 14.1 A^3/atom. The symmetry is P4/mmm, No. 123. The formation energy comes out at 180 meV/atom.

Geometry as POSCAR:
```
MgMn2Cr
1.0
2.917 0.000 0.000
0.000 2.917 0.000
0.000 0.000 6.630
Mg Cr Mn
1 1 2
direct
0.500 0.500 0.750 Mg
0.500 0.500 0.250 Cr
0.000 0.000 0.043 Mn
0.000 0.000 0.457 Mn
```

=====

Record 6
DFT (PBE) results for a relaxed structure of Cd2InTeO6.

Calculated values
The calculation puts the density of states at the Fermi level at 0.138 states/eV per atom. The calculated volume comes out at 13.6 A^3/atom. The symmetry is R3, No. 146. The raw formation energy comes out at -1.138 eV per atom.

Geometry as POSCAR:
```
Cd2InTeO6
1.0
-4.178 3.691 -1.053
-4.511 -1.613 -3.039
-5.153 -0.695 2.721
O In Cd Te
6 1 2 1
direct
0.673 0.106 0.780 O
0.106 0.441 0.780 O
0.191 0.965 0.264 O
0.965 0.580 0.264 O
0.441 0.673 0.780 O
0.580 0.191 0.264 O
0.812 0.812 0.564 In
0.036 0.036 0.891 Cd
0.540 0.540 0.380 Cd
0.317 0.317 0.049 Te
```

=====

Record 7
DFT (PBE) results for a relaxed structure of Ti20H2N17.

Calculated values
The calculation puts the density of states at the Fermi level at 0.433 states/eV per atom. The calculated volume comes out at 9.8 A^3/atom. The symmetry is C2/m, No. 12. The value obtained for the uncorrected energy is -0.347 Ha/atom.

Geometry as POSCAR:
```
Ti20H2N17
1.0
7.956 0.003 -0.004
7.388 2.952 -0.004
4.533 0.873 16.323
Ti N H
20 17 2
direct
0.100 0.100 0.221 Ti
0.700 0.700 0.077 Ti
0.299 0.299 0.427 Ti
0.900 0.900 0.779 Ti
0.100 0.100 0.727 Ti
0.499 0.499 0.130 Ti
0.501 0.501 0.870 Ti
0.700 0.700 0.825 Ti
0.105 0.105 0.974 Ti
0.504 0.504 0.624 Ti
0.900 0.900 0.273 Ti
0.099 0.099 0.477 Ti
0.296 0.296 0.676 Ti
0.701 0.701 0.573 Ti
0.901 0.901 0.523 Ti
0.496 0.496 0.376 Ti
0.300 0.300 0.175 Ti
0.704 0.704 0.324 Ti
0.300 0.300 0.923 Ti
0.895 0.895 0.026 Ti
0.300 0.300 0.551 N
0.500 0.500 0.500 N
0.700 0.700 0.449 N
0.301 0.301 0.798 N
0.901 0.901 0.400 N
0.699 0.699 0.202 N
0.901 0.901 0.901 N
0.099 0.099 0.600 N
0.500 0.500 0.251 N
0.699 0.699 0.951 N
0.099 0.099 0.099 N
0.500 0.500 0.749 N
0.099 0.099 0.852 N
0.301 0.301 0.049 N
0.901 0.901 0.148 N
0.701 0.701 0.699 N
0.299 0.299 0.301 N
0.900 0.900 0.650 H
0.100 0.100 0.350 H
```

=====

Record 8
DFT (PBE) results for a relaxed structure of BaBiSbO6.

Calculated values
The calculated volume comes out at 17.3 A^3/atom. The symmetry is P-31c, No. 163. The raw formation energy comes out at -1.638 eV per atom.

Geometry as POSCAR:
```
BaBiSbO6
1.0
-2.366 4.748 1.631
-0.646 -4.606 3.028
9.603 2.680 6.127
O Bi Sb Ba
12 2 2 2
direct
0.391 0.016 0.150 O
0.391 0.375 0.350 O
0.609 0.625 0.650 O
0.609 0.984 0.850 O
0.375 0.984 0.650 O
0.625 0.016 0.350 O
0.375 0.391 0.850 O
0.984 0.609 0.350 O
0.625 0.609 0.150 O
0.016 0.391 0.650 O
0.016 0.625 0.850 O
0.984 0.375 0.150 O
0.333 0.667 0.250 Bi
0.667 0.333 0.750 Bi
0.333 0.667 0.750 Sb
0.667 0.333 0.250 Sb
0.000 0.000 0.000 Ba
0.000 0.000 0.500 Ba
```